# 1
Density functional theory data (PBE) for AsC after structural relaxation.

The structure belongs to space group Pm-3m (No. 221); the cell edges are 4.312, 4.312 and 4.312 Å and the angles 90.00°, 90.00° and 90.00°. The distinct sites, in fractional coordinates, are As at (0.000, 0.000, 0.500) and C at (0.000, 0.500, 0.500).

The relative energy among the computed polymorphs comes out at 1616 meV/atom. The total DFT energy (no corrections) comes out at -4.78 eV per atom. For the volume, the calculation gives 80.2 Å³ per cell. Its formation energy is 2156 meV per atom.



# 2
Density functional theory data (PBE) for AsC after structural relaxation.

The structure belongs to space group R-3m (No. 166, hexagonal axes); the cell edges are 3.1432, 3.1432 and 20.2438 Å and the angles 90.00°, 90.00° and 120.00°. The distinct sites, in fractional coordinates, are As at (0.0000, 0.0000, 0.0977) and C at (0.0000, 0.0000, 0.3951).

The relative energy among the computed polymorphs comes out at 731 meV/atom. The total DFT energy (no corrections) comes out at -5.67 eV per atom. For the volume, the calculation gives 173.2 Å³ per cell. Its formation energy is 1271 meV per atom.



# 3
Density functional theory data (PBE) for As2C after structural relaxation.

The structure belongs to space group P-42_1m (No. 113); the cell edges are 4.371, 4.371 and 5.941 Å and the angles 90.00°, 90.00° and 90.00°. The distinct sites, in fractional coordinates, are As at (0.207, 0.293, 0.213) and C at (0.000, 0.000, 0.000).

The relative energy among the computed polymorphs comes out at 0 meV/atom. The total DFT energy (no corrections) comes out at -5.68 eV per atom. For the volume, the calculation gives 113.5 Å³ per cell. Its formation energy is 497 meV per atom.



# 4
Density functional theory data (PBE) for As2C after structural relaxation.

The structure belongs to space group P6_3/mmc (No. 194); the cell edges are 2.9961, 2.9961 and 19.6396 Å and the angles 90.00°, 90.00° and 120.00°. The distinct sites, in fractional coordinates, are As at (0.3333, 0.6667, 0.0695) and C at (0.0000, 0.0000, 0.0000).

The relative energy among the computed polymorphs comes out at 650 meV/atom. The total DFT energy (no corrections) comes out at -5.03 eV per atom. For the volume, the calculation gives 152.7 Å³ per cell. Its formation energy is 1147 meV per atom.



# 5
Density functional theory data (PBE) for AsC after structural relaxation.

The structure belongs to space group P6_3/mmc (No. 194); the cell edges are 3.1188, 3.1188 and 5.4714 Å and the angles 90.00°, 90.00° and 120.00°. The distinct sites, in fractional coordinates, are As at (0.0000, 0.0000, 0.0000) and C at (0.3333, 0.6667, 0.2500).

The relative energy among the computed polymorphs comes out at 1083 meV/atom. The total DFT energy (no corrections) comes out at -5.31 eV per atom. For the volume, the calculation gives 46.1 Å³ per cell. Its formation energy is 1624 meV per atom.



# 6
Density functional theory data (PBE) for As2C after structural relaxation.

The structure belongs to space group P6_3/mmc (No. 194); the cell edges are 3.0792, 3.0792 and 10.9352 Å and the angles 90.00°, 90.00° and 120.00°. The distinct sites, in fractional coordinates, are As at (0.3333, 0.6667, 0.1239) and C at (0.3333, 0.6667, 0.7500).

The relative energy among the computed polymorphs comes out at 757 meV/atom. The total DFT energy (no corrections) comes out at -4.92 eV per atom. For the volume, the calculation gives 89.8 Å³ per cell. Its formation energy is 1254 meV per atom.



# 7
Density functional theory data (PBE) for As2C after structural relaxation.

The structure belongs to space group I4/mmm (No. 139); the cell edges are 3.039, 3.039 and 10.468 Å and the angles 90.00°, 90.00° and 90.00°. The distinct sites, in fractional coordinates, are As at (0.000, 0.000, 0.114) and C at (0.000, 0.000, 0.500).

The relative energy among the computed polymorphs comes out at 1049 meV/atom. The total DFT energy (no corrections) comes out at -4.63 eV per atom. For the volume, the calculation gives 96.7 Å³ per cell. Its formation energy is 1545 meV per atom.



# 8
Density functional theory data (PBE) for As2C after structural relaxation.

The structure belongs to space group Pnma (No. 62); the cell edges are 6.296, 3.303 and 12.248 Å and the angles 90.00°, 90.00° and 90.00°. The distinct sites, in fractional coordinates, are As at (0.012, 0.250, 0.107), As at (0.040, 0.750, 0.429) and C at (0.148, 0.250, 0.954).

The relative energy among the computed polymorphs comes out at 167 meV/atom. The total DFT energy (no corrections) comes out at -5.51 eV per atom. For the volume, the calculation gives 254.7 Å³ per cell. Its formation energy is 664 meV per atom.



# 9
Density functional theory data (PBE) for AsC after structural relaxation.

The structure belongs to space group Pmma (No. 51); the cell edges are 4.377, 3.136 and 3.993 Å and the angles 90.00°, 90.00° and 90.00°. The distinct sites, in fractional coordinates, are As at (0.250, 0.000, 0.157) and C at (0.250, 0.500, 0.456).

The relative energy among the computed polymorphs comes out at 1072 meV/atom. The total DFT energy (no corrections) comes out at -5.32 eV per atom. For the volume, the calculation gives 54.8 Å³ per cell. Its formation energy is 1613 meV per atom.



# 10
Density functional theory data (PBE) for As2C after structural relaxation.

The structure belongs to space group P4/mmm (No. 123); the cell edges are 3.031, 3.031 and 4.809 Å and the angles 90.00°, 90.00° and 90.00°. The distinct sites, in fractional coordinates, are As at (0.000, 0.000, 0.000), As at (0.500, 0.500, 0.500) and C at (0.000, 0.000, 0.500).

The relative energy among the computed polymorphs comes out at 810 meV/atom. The total DFT energy (no corrections) comes out at -4.87 eV per atom. For the volume, the calculation gives 44.2 Å³ per cell. Its formation energy is 1306 meV per atom.